# 1
Material: Sr2Al12ZnNi3
Method: DFT, PBE-GGA
State: optimized geometry

abc: 7.9319 7.9319 7.9319
angles: 67.76 67.76 67.76
Closest atoms and distances in Å follow each position.
Sites, in units of the cell vectors:
Zn (0.0000, 0.0000, 0.0000)  6 Al 2.56
Al (0.8795, 0.3606, 0.8795)  1 Ni 2.31, 1 Zn 2.56
Ni (0.5000, 0.0000, 0.0000)  6 Al 2.29-2.31
Al (0.1205, 0.1205, 0.6394)  1 Ni 2.31, 1 Zn 2.56
Ni (0.0000, 0.0000, 0.5000)  6 Al 2.29-2.31
Al (0.2654, 0.2654, 0.9161)  2 Ni 2.29
Al (0.0839, 0.7346, 0.7346)  2 Ni 2.29
Al (0.3606, 0.8795, 0.8795)  1 Ni 2.31, 1 Zn 2.56
Al (0.8795, 0.8795, 0.3606)  1 Ni 2.31, 1 Zn 2.56
Al (0.6394, 0.1205, 0.1205)  1 Ni 2.31, 1 Zn 2.56
Al (0.1205, 0.6394, 0.1205)  1 Ni 2.31, 1 Zn 2.56
Ni (0.0000, 0.5000, 0.0000)  6 Al 2.29-2.31
Sr (0.6029, 0.6029, 0.6029)  3 Al 3.25
Al (0.9161, 0.2654, 0.2654)  2 Ni 2.29
Al (0.2654, 0.9161, 0.2654)  2 Ni 2.29
Sr (0.3971, 0.3971, 0.3971)  3 Al 3.25
Al (0.7346, 0.0839, 0.7346)  2 Ni 2.29
Al (0.7346, 0.7346, 0.0839)  2 Ni 2.29

Its energy relative to the elements is 1.64 kJ per mole of atoms.

---

# 2
Material: Y2PSe
Method: DFT, PBE-GGA
State: optimized geometry

abc: 4.0277 4.0277 7.1044
angles: 73.60 73.60 60.01
Closest atoms and distances in Å follow each position.
Sites, in units of the cell vectors:
Se (0.2500, 0.2500, 0.2500)  6 Y 2.95-2.96
P (0.7500, 0.7500, 0.7500)  6 Y 2.78
Y (0.0076, 0.0076, 0.9777)  3 P 2.78, 3 Se 2.95-2.96
Y (0.4924, 0.4924, 0.5223)  3 P 2.78, 3 Se 2.95-2.96

The energy above the most stable polymorph in this dataset comes out at 0 meV/atom. The formation energy without anion corrections is -1.796 eV/atom.

---

# 3
Material: Li2MnCr
Method: DFT, PBE-GGA
State: optimized geometry

abc: 2.3329 2.3329 9.2175
angles: 90.00 90.00 107.05
Closest atoms and distances in Å follow each position.
Sites, in units of the cell vectors:
Cr (0.5000, 0.5000, 0.7500)  4 Cr 2.33
Mn (0.5000, 0.5000, 0.2500)  4 Mn 2.33
Li (0.0000, 0.0000, 0.0071)  4 Li 2.33
Li (0.0000, 0.0000, 0.4929)  4 Li 2.33

Its energy relative to the elements is 42.01 kJ per mole of atoms. The energy above the most stable polymorph in this dataset comes out at 163 meV/atom.

---

Number 1: spin magnetization 0.000 μB/cell. Number 2: spin magnetization 0.000 μB/cell. Number 3: spin magnetization 0.340 μB/cell.